Entry 1:
The following is a DFT calculation (PBE-GGA) of a relaxed CuHg2Ru crystal.

Summary:
Symmetry   Fm-3m (225)
DOS(E_F)   1.69 states/eV/cell
Calculated total energy   -12.12 eV/cell

Unit cell a=4.5969 b=4.5969 c=4.5969 alpha=60.00 beta=60.00 gamma=60.00
Last column: nearest neighbours and their distance in Å.
Sites, in units of the cell vectors:
Cu1 0.0000 0.0000 0.0000  8 Hg 2.82
Hg1 0.2500 0.2500 0.2500  4 Ru 2.82, 4 Cu 2.82
Hg2 0.7500 0.7500 0.7500  4 Ru 2.82, 4 Cu 2.82
Ru1 0.5000 0.5000 0.5000  8 Hg 2.82

Entry 2:
The following is a DFT calculation (PBE-GGA) of a relaxed TePtPb crystal.

Summary:
Symmetry   P2_1/c (14)
DOS(E_F)   4.11 states/eV/cell
Energy relative to the elements, uncorrected   -347 meV/atom
Calculated total energy   -55.73 eV/cell

Unit cell a=6.9943 b=6.7242 c=7.0257 alpha=90.00 beta=106.93 gamma=90.00
Last column: nearest neighbours and their distance in Å.
Sites, in units of the cell vectors:
Te1 0.1480 0.1324 0.3602  3 Pt 2.69-2.75
Te2 0.1480 0.3676 0.8602  3 Pt 2.69-2.75
Te3 0.8520 0.6324 0.1398  3 Pt 2.69-2.75
Te4 0.8520 0.8676 0.6398  3 Pt 2.69-2.75
Pt1 0.2384 0.0059 0.7453  3 Te 2.69-2.75, 3 Pb 2.78-2.83
Pt2 0.2384 0.4941 0.2453  3 Te 2.69-2.75, 3 Pb 2.78-2.83
Pt3 0.7616 0.5059 0.7547  3 Te 2.69-2.75, 3 Pb 2.78-2.83
Pt4 0.7616 0.9941 0.2547  3 Te 2.69-2.75, 3 Pb 2.78-2.83
Pb1 0.3611 0.6411 0.6357  3 Pt 2.78-2.83, 1 Te 3.08
Pb2 0.3611 0.8589 0.1357  3 Pt 2.78-2.83, 1 Te 3.08
Pb3 0.6389 0.1411 0.8643  3 Pt 2.78-2.83, 1 Te 3.08
Pb4 0.6389 0.3589 0.3643  3 Pt 2.78-2.83, 1 Te 3.08

Entry 3:
The following is a DFT calculation (PBE-GGA) of a relaxed Li12Ag3F5 crystal.

Summary:
Symmetry   Ia-3d (230)
DOS(E_F)   29.79 states/eV/cell
Energy relative to the elements, uncorrected   -1327 meV/atom
Calculated total energy   -269.69 eV/cell

Unit cell a=11.6853 b=11.6853 c=11.6853 alpha=109.47 beta=109.47 gamma=109.47
Last column: nearest neighbours and their distance in Å.
Sites, in units of the cell vectors:
Li1 0.0083 0.1930 0.1105  2 F 1.92-2.14
Li2 0.0083 0.3153 0.8979  2 F 1.92-2.14
Li3 0.0826 0.6930 0.6847  2 F 1.92-2.14
Li4 0.0826 0.8895 0.3979  2 F 1.92-2.14
Li5 0.1021 0.6105 0.4174  2 F 1.92-2.14
Li6 0.1021 0.9917 0.6847  2 F 1.92-2.14
Li7 0.1105 0.0083 0.1930  2 F 1.92-2.14
Li8 0.1105 0.6021 0.9174  2 F 1.92-2.14
Li9 0.1847 0.1930 0.5826  2 F 1.92-2.14
Li10 0.1847 0.4917 0.6021  2 F 1.92-2.14
Li11 0.1930 0.1105 0.0083  2 F 1.92-2.14
Li12 0.1930 0.5826 0.1847  2 F 1.92-2.14
Li13 0.3070 0.3153 0.9174  2 F 1.92-2.14
Li14 0.3070 0.4917 0.3895  2 F 1.92-2.14
Li15 0.3153 0.8979 0.0083  2 F 1.92-2.14
Li16 0.3153 0.9174 0.3070  2 F 1.92-2.14
Li17 0.3895 0.3070 0.4917  2 F 1.92-2.14
Li18 0.3895 0.5826 0.8979  2 F 1.92-2.14
Li19 0.3979 0.0826 0.8895  2 F 1.92-2.14
Li20 0.3979 0.8153 0.5083  2 F 1.92-2.14
Li21 0.4174 0.1021 0.6105  2 F 1.92-2.14
Li22 0.4174 0.8153 0.8070  2 F 1.92-2.14
Li23 0.4917 0.3895 0.3070  2 F 1.92-2.14
Li24 0.4917 0.6021 0.1847  2 F 1.92-2.14
Li25 0.5083 0.3979 0.8153  2 F 1.92-2.14
Li26 0.5083 0.6105 0.6930  2 F 1.92-2.14
Li27 0.5826 0.1847 0.1930  2 F 1.92-2.14
Li28 0.5826 0.8979 0.3895  2 F 1.92-2.14
Li29 0.6021 0.1847 0.4917  2 F 1.92-2.14
Li30 0.6021 0.9174 0.1105  2 F 1.92-2.14
Li31 0.6105 0.4174 0.1021  2 F 1.92-2.14
Li32 0.6105 0.6930 0.5083  2 F 1.92-2.14
Li33 0.6847 0.0826 0.6930  2 F 1.92-2.14
Li34 0.6847 0.1021 0.9917  2 F 1.92-2.14
Li35 0.6930 0.5083 0.6105  2 F 1.92-2.14
Li36 0.6930 0.6847 0.0826  2 F 1.92-2.14
Li37 0.8070 0.4174 0.8153  2 F 1.92-2.14
Li38 0.8070 0.8895 0.9917  2 F 1.92-2.14
Li39 0.8153 0.5083 0.3979  2 F 1.92-2.14
Li40 0.8153 0.8070 0.4174  2 F 1.92-2.14
Li41 0.8895 0.3979 0.0826  2 F 1.92-2.14
Li42 0.8895 0.9917 0.8070  2 F 1.92-2.14
Li43 0.8979 0.0083 0.3153  2 F 1.92-2.14
Li44 0.8979 0.3895 0.5826  2 F 1.92-2.14
Li45 0.9174 0.1105 0.6021  2 F 1.92-2.14
Li46 0.9174 0.3070 0.3153  2 F 1.92-2.14
Li47 0.9917 0.6847 0.1021  2 F 1.92-2.14
Li48 0.9917 0.8070 0.8895  2 F 1.92-2.14
Ag1 0.1250 0.2500 0.3750  8 Li 2.66-2.82
Ag2 0.1250 0.3750 0.7500  8 Li 2.66-2.82
Ag3 0.2500 0.3750 0.1250  8 Li 2.66-2.82
Ag4 0.2500 0.8750 0.6250  8 Li 2.66-2.82
Ag5 0.3750 0.1250 0.2500  8 Li 2.66-2.82
Ag6 0.3750 0.7500 0.1250  8 Li 2.66-2.82
Ag7 0.6250 0.2500 0.8750  8 Li 2.66-2.82
Ag8 0.6250 0.8750 0.7500  8 Li 2.66-2.82
Ag9 0.7500 0.1250 0.3750  8 Li 2.66-2.82
Ag10 0.7500 0.6250 0.8750  8 Li 2.66-2.82
Ag11 0.8750 0.6250 0.2500  8 Li 2.66-2.82
Ag12 0.8750 0.7500 0.6250  8 Li 2.66-2.82
F1 0.0000 0.0000 0.0000  6 Li 2.14
F2 0.0000 0.0000 0.5000  6 Li 2.14
F3 0.0000 0.5000 0.0000  6 Li 2.14
F4 0.0000 0.5000 0.5000  6 Li 2.14
F5 0.1250 0.7500 0.8750  4 Li 1.92
F6 0.1250 0.8750 0.2500  4 Li 1.92
F7 0.2500 0.1250 0.8750  4 Li 1.92
F8 0.2500 0.6250 0.3750  4 Li 1.92
F9 0.3750 0.2500 0.6250  4 Li 1.92
F10 0.3750 0.6250 0.7500  4 Li 1.92
F11 0.5000 0.0000 0.0000  6 Li 2.14
F12 0.5000 0.0000 0.5000  6 Li 2.14
F13 0.5000 0.5000 0.0000  6 Li 2.14
F14 0.5000 0.5000 0.5000  6 Li 2.14
F15 0.6250 0.3750 0.2500  4 Li 1.92
F16 0.6250 0.7500 0.3750  4 Li 1.92
F17 0.7500 0.3750 0.6250  4 Li 1.92
F18 0.7500 0.8750 0.1250  4 Li 1.92
F19 0.8750 0.1250 0.7500  4 Li 1.92
F20 0.8750 0.2500 0.1250  4 Li 1.92

Entry 4:
The following is a DFT calculation (PBE-GGA) of a relaxed CdGaOs crystal.

Summary:
Symmetry   P4/nmm (129)
DOS(E_F)   1.16 states/eV/cell
Calculated total energy   -29.69 eV/cell

Unit cell a=2.8676 b=2.8676 c=12.8580 alpha=90.00 beta=90.00 gamma=90.00
Last column: nearest neighbours and their distance in Å.
Sites, in units of the cell vectors:
Cd1 0.2500 0.2500 0.1000  4 Cd 2.87, 4 Ga 3.16
Cd2 0.7500 0.7500 0.9000  4 Cd 2.87, 4 Ga 3.16
Ga1 0.2500 0.2500 0.7110  4 Os 2.76, 4 Ga 2.87
Ga2 0.7500 0.7500 0.2890  4 Os 2.76, 4 Ga 2.87
Os1 0.2500 0.2500 0.4350  8 Os 2.63-2.87, 4 Ga 2.76
Os2 0.7500 0.7500 0.5650  8 Os 2.63-2.87, 4 Ga 2.76

Entry 5:
The following is a DFT calculation (PBE-GGA) of a relaxed KTc2As crystal.

Summary:
Symmetry   C2/m (12)
DOS(E_F)   4.28 states/eV/cell
Calculated total energy   -24.08 eV/cell

Unit cell a=5.2946 b=5.2946 c=6.1943 alpha=105.02 beta=105.02 gamma=34.24
Last column: nearest neighbours and their distance in Å.
Sites, in units of the cell vectors:
K1 0.0000 0.0000 0.0000  2 K 3.12, 4 As 3.47
Tc1 0.2064 0.2064 0.6097  2 Tc 2.39, 2 As 2.55
Tc2 0.7936 0.7936 0.3903  2 Tc 2.39, 2 As 2.55
As1 0.5000 0.5000 0.5000  4 Tc 2.55

Entry 6:
The following is a DFT calculation (PBE-GGA) of a relaxed Pr4Sm5Sb2 crystal.

Summary:
Symmetry   R-3m (166)
DOS(E_F)   17.51 states/eV/cell
Energy relative to the elements, uncorrected   0 meV/atom
Calculated total energy   -50.96 eV/cell

Unit cell a=16.4693 b=16.4693 c=16.4693 alpha=18.53 beta=18.53 gamma=18.53
Last column: nearest neighbours and their distance in Å.
Sites, in units of the cell vectors:
Pr1 0.0711 0.0711 0.0711  3 Sb 3.44, 5 Sm 3.45-3.72, 3 Pr 3.62
Pr2 0.2225 0.2225 0.2225  5 Sm 3.55-3.93, 3 Pr 3.62
Pr3 0.7775 0.7775 0.7775  5 Sm 3.55-3.93, 3 Pr 3.62
Pr4 0.9289 0.9289 0.9289  3 Sb 3.44, 5 Sm 3.45-3.72, 3 Pr 3.62
Sm1 0.0000 0.0000 0.0000  6 Sm 3.39, 2 Pr 3.45, 6 Sb 3.59
Sm2 0.1477 0.1477 0.1477  5 Pr 3.55-3.72, 3 Sm 3.57
Sm3 0.3035 0.3035 0.3035  4 Sb 3.09-3.32, 3 Sm 3.39
Sm4 0.6965 0.6965 0.6965  4 Sb 3.09-3.32, 3 Sm 3.39
Sm5 0.8523 0.8523 0.8523  5 Pr 3.55-3.72, 3 Sm 3.57
Sb1 0.3720 0.3720 0.3720  4 Sm 3.09-3.32, 3 Pr 3.44
Sb2 0.6280 0.6280 0.6280  4 Sm 3.09-3.32, 3 Pr 3.44

| no. | spin magnetization (μB/cell) |
| --- | --- |
| 1 | 0.00 |
| 2 | 0.00 |
| 3 | 0.00 |
| 4 | 0.00 |
| 5 | 0.00 |
| 6 | 0.00 |